1.
Density functional theory data (SCAN) for ZnMo3 at its PBEsol-relaxed geometry.

a = 2.737 Å, b = 2.737 Å, c = 9.468 Å
α = 81.69°, β = 81.69°, γ = 60.00°
Element x y z (fractional)
Mo1 0.751 0.751 0.746
Mo2 0.000 0.000 0.000
Mo3 0.249 0.249 0.254
Zn1 0.500 0.500 0.500

Computed properties:
Final energy: -29.177 eV/atom
Energy of formation from the pure elements: 0.3658 eV/atom
Density: 9.68 Mg/m³
Magnetization: 0.00 Bohr magnetons per cell

=====

2.
Density functional theory data (SCAN) for TaAlRu at its PBEsol-relaxed geometry.

a = 2.857 Å, b = 4.293 Å, c = 4.293 Å
α = 120.00°, β = 90.00°, γ = 90.00°
Element x y z (fractional)
Al1 0.919 0.000 0.000
Ta1 0.379 0.333 0.667
Ru1 0.703 0.667 0.333

Computed properties:
Final energy: -36.835 eV/atom
Energy of formation from the pure elements: -0.4474 eV/atom
Density: 11.25 Mg/m³
Magnetization: 0.00 Bohr magnetons per cell

=====

3.
Density functional theory data (SCAN) for Li3VF6 at its PBEsol-relaxed geometry.

a = 5.021 Å, b = 5.021 Å, c = 9.410 Å
α = 90.00°, β = 90.00°, γ = 120.00°
Element x y z (fractional)
F1 0.026 0.673 0.130
F2 0.327 0.353 0.130
F3 0.327 0.974 0.370
F4 0.353 0.327 0.630
F5 0.974 0.327 0.870
F6 0.026 0.353 0.370
F7 0.647 0.673 0.370
F8 0.353 0.026 0.870
F9 0.647 0.974 0.130
F10 0.974 0.647 0.630
F11 0.673 0.647 0.870
F12 0.673 0.026 0.630
Li1 0.667 0.333 0.449
Li2 0.000 0.000 0.250
Li3 0.333 0.667 0.949
Li4 0.000 0.000 0.750
Li5 0.667 0.333 0.051
Li6 0.333 0.667 0.551
V1 0.333 0.667 0.250
V2 0.667 0.333 0.750

Computed properties:
Final energy: -7.727 eV/atom
Uncorrected formation energy: -3.138 eV per atom
Density: 3.00 Mg/m³
Magnetization: 4.00 Bohr magnetons per cell